(1)
A plane-wave DFT calculation with PBE-GGA was carried out for an optimized crystal structure of CaTl2Ga.

```
CaTl2Ga
1.0
3.596 0.000 0.000
-1.798 3.114 0.000
0.000 0.000 33.259
Ca Tl Ga
3 6 3
Cartesian
0.000 0.000 0.000
0.000 2.076 22.172
1.798 1.038 11.086
0.000 0.000 3.198
0.000 0.000 30.060
0.000 2.076 18.974
0.000 2.076 25.371
1.798 1.038 7.888
1.798 1.038 14.284
0.000 0.000 16.629
0.000 2.076 5.543
1.798 1.038 27.715
```

Calculated formation energy (eV per atom): 0.120



(2)
A plane-wave DFT calculation with PBE-GGA was carried out for an optimized crystal structure of Ca4Tl2Ga.

```
Ca4Tl2Ga
1.0
2.676 1.545 8.841
-2.676 1.545 8.841
0.000 -3.090 8.841
Ca Tl Ga
4 2 1
Cartesian
0.000 0.000 3.281
0.000 0.000 9.907
0.000 0.000 16.617
0.000 0.000 23.243
0.000 0.000 6.633
0.000 0.000 19.891
0.000 0.000 0.000
```

Calculated formation energy (eV per atom): -0.340